Here is an optimized crystal structure of MgPa6Ru12 from the Alexandria database. Energies are from PBE.

The structure belongs to space group R-3 (No. 148, hexagonal axes); the cell edges are 9.9599, 9.9599 and 13.1377 Å and the angles 90.00°, 90.00° and 120.00°. The asymmetric unit holds Mg at (0.0000, 0.0000, 0.0000), Pa at (0.0609, 0.8196, 0.6586), Ru at (0.0348, 0.5911, 0.1432) and Ru at (0.0480, 0.1825, 0.8198).

The energy comes out at -174.9 eV/f.u. For the theoretical density, the calculation gives 11.6 g/cm³. For the formation energy from the elements, the calculation gives -5.039 eV/f.u. The value obtained for the total magnetic moment is 0.00 μB/f.u.